# 1
# LaCePmTh PBE relaxed
data_LaCePmTh
_cell_length_a 3.567
_cell_length_b 3.567
_cell_length_c 10.183
_cell_angle_alpha 90.00
_cell_angle_beta 90.00
_cell_angle_gamma 90.00
_symmetry_space_group_name_H-M 'P 4 m m'
_symmetry_Int_Tables_number 99
loop_
_symmetry_equiv_pos_as_xyz
'x,y,z'
'-y,x,z'
'-x,-y,z'
'y,-x,z'
'-x,y,z'
'y,x,z'
'x,-y,z'
'-y,-x,z'
loop_
_atom_site_label
_atom_site_type_symbol
_atom_site_fract_x
_atom_site_fract_y
_atom_site_fract_z
La1 La 0.000 0.000 0.000
Ce1 Ce 0.500 0.500 0.245
Pm1 Pm 0.500 0.500 0.718
Th1 Th 0.000 0.000 0.472
# **Uncorrected energy**: -5.7272 eV/atom
# **Polymorph energy (0 for the lowest one)**: 0.0 kJ per mole of atoms
# **Formation energy**: 12 kJ/mol of formula units
# **D(E_F)**: 1.85 states/eV per atom
# **Magnetization**: 0.00 μB per atom

=====

# 2
# LaCe2PmTl4 PBE relaxed
data_LaCe2PmTl4
_cell_length_a 5.5446
_cell_length_b 5.5446
_cell_length_c 27.1770
_cell_angle_alpha 90.00
_cell_angle_beta 90.00
_cell_angle_gamma 120.00
_symmetry_space_group_name_H-M 'R -3 m'
_symmetry_Int_Tables_number 166
_symmetry_space_group_name_Hall '-R 3 2"'
loop_
_atom_site_label
_atom_site_type_symbol
_atom_site_fract_x
_atom_site_fract_y
_atom_site_fract_z
La1 La 0.0000 0.0000 0.0000
Ce1 Ce 0.0000 0.0000 0.2498
Pm1 Pm 0.0000 0.0000 0.5000
Tl1 Tl 0.0000 0.0000 0.1262
Tl2 Tl 0.0000 0.0000 0.3763
# **Uncorrected energy**: -4.1716 eV/atom
# **Formation energy**: -228 kJ/mol of formula units
# **D(E_F)**: 2.59 states/eV per atom
# **Magnetization**: 0.28 μB per atom

=====

# 3
# LaCePmTl PBE relaxed
data_LaCePmTl
_cell_length_a 7.882
_cell_length_b 7.882
_cell_length_c 7.882
_cell_angle_alpha 90.00
_cell_angle_beta 90.00
_cell_angle_gamma 90.00
_symmetry_space_group_name_H-M 'F -4 3 m'
_symmetry_Int_Tables_number 216
_symmetry_space_group_name_Hall 'F -4 2 3'
loop_
_atom_site_label
_atom_site_type_symbol
_atom_site_fract_x
_atom_site_fract_y
_atom_site_fract_z
La1 La 0.000 0.000 0.000
Ce1 Ce 0.250 0.250 0.750
Pm1 Pm 0.000 0.000 0.500
Tl1 Tl 0.250 0.250 0.250
# **Uncorrected energy**: -4.5110 eV/atom
# **Formation energy**: -6 kJ/mol of formula units
# **D(E_F)**: 2.17 states/eV per atom
# **Magnetization**: 0.15 μB per atom

=====

# 4
# La2CePmTl4 PBE relaxed
data_La2CePmTl4
_cell_length_a 5.5778
_cell_length_b 5.5778
_cell_length_c 27.3414
_cell_angle_alpha 90.00
_cell_angle_beta 90.00
_cell_angle_gamma 120.00
_symmetry_space_group_name_H-M 'R -3 m'
_symmetry_Int_Tables_number 166
_symmetry_space_group_name_Hall '-R 3 2"'
loop_
_atom_site_label
_atom_site_type_symbol
_atom_site_fract_x
_atom_site_fract_y
_atom_site_fract_z
La1 La 0.0000 0.0000 0.2503
Ce1 Ce 0.0000 0.0000 0.5000
Pm1 Pm 0.0000 0.0000 0.0000
Tl1 Tl 0.0000 0.0000 0.1248
Tl2 Tl 0.0000 0.0000 0.3748
# **Uncorrected energy**: -4.1033 eV/atom
# **Formation energy**: -272 kJ/mol of formula units
# **D(E_F)**: 1.78 states/eV per atom
# **Magnetization**: 0.14 μB per atom

=====

- Among the records above, which one has the lowest D(E_F)?
  La2CePmTl4

=====

- Which value of formation energy does entry 2 give?
  -228 kJ/mol of formula units

=====

- The highest formation energy belongs to which entry?
  LaCePmTh

=====

- What is the uncorrected energy in the fourth record?
  -4.1033 eV/atom